No. 1
Computed, not measured: a geometry-optimized Na2HfZr2Te6 structure at the PBE-GGA level of DFT. Values from VASP.

Results
The calculation puts the total DFT energy (no corrections) at -5.315 eV per atom. Its density of states at the Fermi level is 5.60 states/eV/f.u. The value obtained for the volume is 337 Å³/cell.

Cell and atoms, written as Quantum ESPRESSO input:
```
&SYSTEM
  ibrav = 0, nat = 11, ntyp = 4
/
ATOMIC_SPECIES
Na 22.99 Na.upf
Hf 178.49 Hf.upf
Zr 91.22 Zr.upf
Te 127.60 Te.upf
CELL_PARAMETERS angstrom
3.499 -6.064 0.000
3.499 6.064 0.000
-2.375 0.000 7.930
ATOMIC_POSITIONS angstrom
Na 3.499 4.037 0.000
Na 3.499 -4.037 0.000
Hf -1.188 0.000 3.965
Zr 2.312 2.046 3.965
Zr 2.312 -2.046 3.965
Te -0.021 1.978 5.746
Te 1.143 0.000 2.206
Te -0.021 -1.978 5.746
Te 4.645 1.978 2.185
Te 3.481 0.000 5.725
Te 4.645 -1.978 2.185
```

***

No. 2
Computed, not measured: a geometry-optimized VHgAsSe2 structure at the PBE-GGA level of DFT. Values from VASP.

Results
Its energy above the lowest structure with this stoichiometry is 0 meV/atom. The calculation puts the total DFT energy (no corrections) at -4.164 eV per atom. Its density of states at the Fermi level is 2.66 states/eV/f.u. The value obtained for the volume is 114 Å³/cell.

Cell and atoms, written as Quantum ESPRESSO input:
```
&SYSTEM
  ibrav = 0, nat = 5, ntyp = 4
/
ATOMIC_SPECIES
V 50.94 V.upf
Hg 200.59 Hg.upf
As 74.92 As.upf
Se 78.96 Se.upf
CELL_PARAMETERS angstrom
4.794 0.000 0.000
0.000 4.794 0.000
0.000 0.000 4.978
ATOMIC_POSITIONS angstrom
V 0.000 0.000 0.000
Hg 2.397 2.397 2.489
As 0.000 0.000 2.489
Se 0.000 2.397 0.000
Se 2.397 0.000 0.000
```

***

Look up the total DFT energy (no corrections) of the first one.
-5.315 eV per atom